(1)
A plane-wave DFT calculation with PBE was carried out for an optimized crystal structure of TaBAu2.

a = 4.526 Å, b = 4.526 Å, c = 14.361 Å
α = 90.00°, β = 90.00°, γ = 90.00°
Space group I-42d (No. 122)
Asymmetric unit:
Ta1 0.000 0.000 0.000 [4 per cell]
B1 0.000 0.000 0.500 [4 per cell]
Au1 0.166 0.250 0.625 [8 per cell]

Computed properties:
E   -0.3976 Ry per atom
Crystal system   tetragonal

=====

(2)
A plane-wave DFT calculation with PBE was carried out for an optimized crystal structure of Ta5B2Au2.

a = 14.359 Å, b = 6.198 Å, c = 6.248 Å
α = 90.00°, β = 90.00°, γ = 90.00°
Space group Cmce (No. 64)
Asymmetric unit:
Ta1 0.000 0.000 0.000 [4 per cell]
Ta2 0.109 0.184 0.324 [16 per cell]
B1 0.000 0.104 0.607 [8 per cell]
Au1 0.228 0.000 0.000 [8 per cell]

Computed properties:
E   -0.6710 Ry per atom
Crystal system   orthorhombic

=====

(3)
A plane-wave DFT calculation with PBE was carried out for an optimized crystal structure of TaB3Au.

a = 4.102 Å, b = 4.102 Å, c = 4.102 Å
α = 90.00°, β = 90.00°, γ = 90.00°
Space group Pm-3m (No. 221)
Asymmetric unit:
Ta1 0.000 0.000 0.000 [1 per cell]
B1 0.000 0.500 0.500 [3 per cell]
Au1 0.500 0.500 0.500 [1 per cell]

Computed properties:
E   -0.3748 Ry per atom
Crystal system   cubic

=====

Number 1: spin magnetization 0.00 μB/cell. Number 2: spin magnetization 0.00 μB/cell. Number 3: spin magnetization 0.00 μB/cell.